Entry from Alexandria: an optimized crystal structure of TlPdRuCl6 (PBE-GGA).

Cell and atoms, written as POSCAR:
```
TlPdRuCl6
1.0
-2.714 4.495 3.704
-5.474 -1.278 3.114
3.692 -2.330 5.533
Tl Pd Ru Cl
1 1 1 6
direct
0.000 0.000 0.000 Tl
0.667 0.667 0.500 Pd
0.333 0.333 0.500 Ru
0.018 0.353 0.311 Cl
0.353 0.018 0.689 Cl
0.629 0.353 0.689 Cl
0.018 0.629 0.689 Cl
0.353 0.629 0.311 Cl
0.629 0.018 0.311 Cl
```

Mass density ... 4.11 g/cm³
E_form (uncorrected) ... -0.5568 eV per atom
Space-group type ... P312, No. 149
Total DFT energy (no corrections) ... -3.658 eV/atom


Entry from Alexandria: an optimized crystal structure of V2PdRuCl (PBE-GGA).

Cell and atoms, written as POSCAR:
```
V2PdRuCl
1.0
4.237 0.000 0.000
0.000 4.382 0.000
0.000 0.000 4.237
Ru Cl Pd V
1 1 1 2
direct
0.500 0.500 0.500 Ru
0.000 0.000 0.000 Cl
0.000 0.500 0.000 Pd
0.000 0.000 0.500 V
0.500 0.000 0.000 V
```

Mass density ... 7.28 g/cm³
E_form (uncorrected) ... 0.8063 eV per atom
Space-group type ... P4/mmm, No. 123
Total DFT energy (no corrections) ... -6.104 eV/atom


Entry from Alexandria: an optimized crystal structure of PdRuWCl2 (PBE-GGA).

Cell and atoms, written as POSCAR:
```
PdRuWCl2
1.0
-1.453 3.943 -1.761
-0.380 -2.132 -4.459
-4.304 -1.172 0.927
Ru Pd W Cl
1 1 1 2
direct
0.000 0.000 0.000 Ru
0.500 0.500 0.500 Pd
0.000 0.500 0.000 W
0.000 0.000 0.500 Cl
0.500 0.000 0.000 Cl
```

Mass density ... 7.46 g/cm³
E_form (uncorrected) ... 1.2312 eV per atom
Space-group type ... P4/mmm, No. 123
Total DFT energy (no corrections) ... -4.992 eV/atom


Entry from Alexandria: an optimized crystal structure of PdS2Cl2 (PBE-GGA).

Cell and atoms, written as POSCAR:
```
PdS2Cl2
1.0
7.729 1.971 0.172
-0.126 5.705 -2.970
1.309 -0.383 6.290
Pd S Cl
2 4 4
direct
0.000 0.834 0.166 Pd
0.000 0.166 0.834 Pd
0.427 0.879 0.877 S
0.166 0.073 0.072 S
0.834 0.927 0.928 S
0.573 0.121 0.123 S
0.812 0.571 0.223 Cl
0.188 0.429 0.777 Cl
0.812 0.221 0.572 Cl
0.188 0.779 0.428 Cl
```

Mass density ... 3.07 g/cm³
E_form (uncorrected) ... -0.2677 eV per atom
Space-group type ... P-1, No. 2
Total DFT energy (no corrections) ... -3.696 eV/atom


Entry from Alexandria: an optimized crystal structure of PdS2Cl (PBE-GGA).

Cell and atoms, written as POSCAR:
```
PdS2Cl
1.0
-0.727 -3.816 -3.052
4.693 -3.462 3.211
-5.642 -1.489 3.205
Pd S Cl
2 4 2
direct
0.500 0.292 0.292 Pd
0.000 0.708 0.708 Pd
0.693 0.974 0.794 S
0.807 0.206 0.026 S
0.307 0.794 0.974 S
0.193 0.026 0.206 S
0.250 0.384 0.616 Cl
0.750 0.616 0.384 Cl
```

Mass density ... 3.23 g/cm³
E_form (uncorrected) ... -0.1838 eV per atom
E above lowest polymorph ... 0.00 eV/f.u.
Space-group type ... C222_1, No. 20
Total DFT energy (no corrections) ... -4.007 eV/atom


Entry from Alexandria: an optimized crystal structure of PdS2Cl4 (PBE-GGA).

Cell and atoms, written as POSCAR:
```
PdS2Cl4
1.0
-0.934 4.200 -0.483
-3.161 -1.159 -1.021
1.204 -7.409 16.052
Pd S Cl
1 2 4
direct
0.000 0.000 0.000 Pd
0.185 0.358 0.550 S
0.815 0.642 0.450 S
0.105 0.606 0.101 Cl
0.895 0.394 0.899 Cl
0.325 0.766 0.671 Cl
0.675 0.234 0.329 Cl
```

Mass density ... 2.35 g/cm³
E_form (uncorrected) ... -0.1211 eV per atom
Space-group type ... P-1, No. 2
Total DFT energy (no corrections) ... -3.097 eV/atom


Entry from Alexandria: an optimized crystal structure of Pd2S3Cl4 (PBE-GGA).

Cell and atoms, written as POSCAR:
```
Pd2S3Cl4
1.0
21.046 0.583 2.461
5.699 5.352 -0.267
5.177 -1.190 5.742
Pd S Cl
4 6 8
direct
0.400 0.306 0.468 Pd
0.100 0.532 0.694 Pd
0.600 0.694 0.532 Pd
0.900 0.468 0.306 Pd
0.992 0.025 0.130 S
0.508 0.870 0.975 S
0.008 0.975 0.870 S
0.492 0.130 0.025 S
0.250 0.554 0.446 S
0.750 0.446 0.554 S
0.429 0.940 0.563 Cl
0.071 0.437 0.060 Cl
0.571 0.060 0.437 Cl
0.929 0.563 0.940 Cl
0.873 0.413 0.656 Cl
0.627 0.344 0.587 Cl
0.127 0.587 0.344 Cl
0.373 0.656 0.413 Cl
```

Mass density ... 2.80 g/cm³
E_form (uncorrected) ... -0.2095 eV per atom
Space-group type ... C2/c, No. 15
Total DFT energy (no corrections) ... -3.560 eV/atom


Entry from Alexandria: an optimized crystal structure of PdS2Cl (PBE-GGA).

Cell and atoms, written as POSCAR:
```
PdS2Cl
1.0
2.355 -1.148 11.681
1.948 -3.840 11.170
4.450 -2.718 10.776
S Pd Cl
2 1 1
direct
0.935 0.935 0.935 S
0.065 0.065 0.065 S
0.000 0.000 0.000 Pd
0.500 0.500 0.500 Cl
```

Mass density ... 4.34 g/cm³
E_form (uncorrected) ... 0.3657 eV per atom
E above lowest polymorph ... 2.20 eV/f.u.
Space-group type ... R-3m, No. 166
Total DFT energy (no corrections) ... -3.458 eV/atom


Entry from Alexandria: an optimized crystal structure of PdS2Cl (PBE-GGA).

Cell and atoms, written as POSCAR:
```
PdS2Cl
1.0
2.142 0.000 7.122
-1.071 1.855 7.122
-1.071 -1.855 7.122
S Pd Cl
2 1 1
direct
0.888 0.888 0.888 S
0.112 0.112 0.112 S
0.500 0.500 0.500 Pd
0.000 0.000 0.000 Cl
```

Mass density ... 4.03 g/cm³
E_form (uncorrected) ... -0.1230 eV per atom
E above lowest polymorph ... 0.24 eV/f.u.
Space-group type ... R-3m, No. 166
Total DFT energy (no corrections) ... -3.947 eV/atom


Entry from Alexandria: an optimized crystal structure of PdS6Cl (PBE-GGA).

Cell and atoms, written as POSCAR:
```
PdS6Cl
1.0
-4.712 -0.958 3.163
-5.045 1.450 -7.559
6.720 -4.370 3.325
Pd S Cl
1 6 1
direct
0.000 0.000 0.000 Pd
0.314 0.908 0.141 S
0.141 0.884 0.683 S
0.840 0.513 0.173 S
0.859 0.116 0.317 S
0.686 0.092 0.859 S
0.160 0.487 0.827 S
0.500 0.500 0.500 Cl
```

Mass density ... 2.72 g/cm³
E_form (uncorrected) ... 0.0071 eV per atom
Space-group type ... P-1, No. 2
Total DFT energy (no corrections) ... -3.968 eV/atom


Entry from Alexandria: an optimized crystal structure of Pd2S3Cl (PBE-GGA).

Cell and atoms, written as POSCAR:
```
Pd2S3Cl
1.0
7.345 0.171 0.652
-3.524 6.104 0.000
0.508 0.293 5.709
Pd S Cl
4 6 2
direct
0.000 0.000 0.000 Pd
0.000 0.500 0.000 Pd
0.500 0.500 0.000 Pd
0.500 0.000 0.000 Pd
0.204 0.362 0.797 S
0.204 0.842 0.797 S
0.715 0.857 0.785 S
0.285 0.143 0.215 S
0.796 0.638 0.203 S
0.796 0.158 0.203 S
0.375 0.688 0.278 Cl
0.625 0.312 0.722 Cl
```

Mass density ... 4.46 g/cm³
E_form (uncorrected) ... -0.1533 eV per atom
Space-group type ... C2/m, No. 12
Total DFT energy (no corrections) ... -4.256 eV/atom


Entry from Alexandria: an optimized crystal structure of Pd2S4Cl3 (PBE-GGA).

Cell and atoms, written as POSCAR:
```
Pd2S4Cl3
1.0
-5.903 2.266 -3.876
-8.044 -4.602 1.707
-6.602 4.607 4.896
Pd S Cl
4 8 6
direct
0.590 0.869 0.683 Pd
0.910 0.317 0.131 Pd
0.410 0.131 0.317 Pd
0.090 0.683 0.869 Pd
0.520 0.153 0.504 S
0.980 0.496 0.847 S
0.480 0.847 0.496 S
0.020 0.504 0.153 S
0.193 0.823 0.585 S
0.307 0.415 0.177 S
0.807 0.177 0.415 S
0.693 0.585 0.823 S
0.215 0.837 0.924 Cl
0.285 0.076 0.163 Cl
0.785 0.163 0.076 Cl
0.715 0.924 0.837 Cl
0.250 0.346 0.654 Cl
0.750 0.654 0.346 Cl
```

Mass density ... 2.95 g/cm³
E_form (uncorrected) ... -0.1449 eV per atom
Space-group type ... C2/c, No. 15
Total DFT energy (no corrections) ... -3.749 eV/atom


Entry from Alexandria: an optimized crystal structure of PdS4Cl (PBE-GGA).

Cell and atoms, written as POSCAR:
```
PdS4Cl
1.0
-3.591 5.165 -3.768
-3.687 -2.603 0.365
-7.226 3.318 1.563
Pd S Cl
1 4 1
direct
0.998 0.503 0.501 Pd
0.176 0.217 0.647 S
0.820 0.789 0.356 S
0.879 0.636 0.012 S
0.117 0.370 0.991 S
0.498 0.002 0.001 Cl
```

Mass density ... 2.95 g/cm³
E_form (uncorrected) ... -0.0233 eV per atom
Space-group type ... P-1, No. 2
Total DFT energy (no corrections) ... -3.948 eV/atom


Entry from Alexandria: an optimized crystal structure of PdS2Cl (PBE-GGA).

Cell and atoms, written as POSCAR:
```
PdS2Cl
1.0
0.000 3.198 3.198
3.198 0.000 3.198
3.198 3.198 0.000
S Pd Cl
2 1 1
direct
0.250 0.250 0.250 S
0.750 0.750 0.750 S
0.500 0.500 0.500 Pd
0.000 0.000 0.000 Cl
```

Mass density ... 5.23 g/cm³
E_form (uncorrected) ... 0.7394 eV per atom
E above lowest polymorph ... 3.69 eV/f.u.
Space-group type ... Fm-3m, No. 225
Total DFT energy (no corrections) ... -3.084 eV/atom


Entry from Alexandria: an optimized crystal structure of PdS2Cl (PBE-GGA).

Cell and atoms, written as POSCAR:
```
PdS2Cl
1.0
6.556 0.000 0.000
0.000 6.556 0.000
3.278 3.278 4.140
S Pd Cl
4 2 2
direct
0.691 0.125 0.250 S
0.059 0.625 0.250 S
0.375 0.309 0.750 S
0.875 0.941 0.750 S
0.000 0.000 0.000 Pd
0.750 0.250 0.500 Pd
0.500 0.500 0.000 Cl
0.250 0.750 0.500 Cl
```

Mass density ... 3.85 g/cm³
E_form (uncorrected) ... 0.3012 eV per atom
E above lowest polymorph ... 1.94 eV/f.u.
Space-group type ... I-42d, No. 122
Total DFT energy (no corrections) ... -3.522 eV/atom


Entry from Alexandria: an optimized crystal structure of PdSCl6 (PBE-GGA).

Cell and atoms, written as POSCAR:
```
PdSCl6
1.0
9.704 1.107 -4.457
-2.966 5.410 -2.048
-1.497 0.425 9.248
Pd S Cl
2 2 12
direct
0.838 0.007 0.488 Pd
0.537 0.492 0.495 Pd
0.004 0.476 0.038 S
0.442 0.114 0.025 S
0.274 0.802 0.878 Cl
0.900 0.275 0.109 Cl
0.688 0.631 0.399 Cl
0.029 0.322 0.559 Cl
0.971 0.068 0.794 Cl
0.065 0.788 0.205 Cl
0.564 0.818 0.672 Cl
0.478 0.115 0.339 Cl
0.707 0.945 0.180 Cl
0.441 0.207 0.830 Cl
0.779 0.479 0.759 Cl
0.285 0.461 0.230 Cl
```

Mass density ... 2.35 g/cm³
E_form (uncorrected) ... -0.1707 eV per atom
Space-group type ... P1, No. 1
Total DFT energy (no corrections) ... -2.721 eV/atom


Entry from Alexandria: an optimized crystal structure of PdS8Cl2 (PBE-GGA).

Cell and atoms, written as POSCAR:
```
PdS8Cl2
1.0
5.912 3.074 0.277
2.111 7.819 -3.504
3.957 -1.009 10.696
Pd S Cl
1 8 2
direct
0.000 0.000 0.000 Pd
0.107 0.224 0.779 S
0.914 0.901 0.819 S
0.893 0.776 0.221 S
0.338 0.521 0.981 S
0.086 0.099 0.181 S
0.666 0.216 0.293 S
0.334 0.784 0.707 S
0.662 0.479 0.019 S
0.050 0.502 0.765 Cl
0.950 0.498 0.235 Cl
```

Mass density ... 2.05 g/cm³
E_form (uncorrected) ... 0.0503 eV per atom
Space-group type ... P-1, No. 2
Total DFT energy (no corrections) ... -3.759 eV/atom


Entry from Alexandria: an optimized crystal structure of SbPdS2Cl (PBE-GGA).

Cell and atoms, written as POSCAR:
```
SbPdS2Cl
1.0
4.774 0.000 0.000
0.000 4.774 0.000
0.000 0.000 4.678
Sb S Pd Cl
1 2 1 1
direct
0.500 0.500 0.500 Sb
0.000 0.500 0.000 S
0.500 0.000 0.000 S
0.000 0.000 0.000 Pd
0.000 0.000 0.500 Cl
```

Mass density ... 5.11 g/cm³
E_form (uncorrected) ... 0.1728 eV per atom
E above lowest polymorph ... 0.00 eV/f.u.
Space-group type ... P4/mmm, No. 123
Total DFT energy (no corrections) ... -3.711 eV/atom


Entry from Alexandria: an optimized crystal structure of ScPdSCl2 (PBE-GGA).

Cell and atoms, written as POSCAR:
```
ScPdSCl2
1.0
4.725 0.000 0.000
0.000 4.725 0.000
0.000 0.000 4.930
Sc S Pd Cl
1 1 1 2
direct
0.500 0.500 0.500 Sc
0.000 0.000 0.500 S
0.000 0.000 0.000 Pd
0.000 0.500 0.000 Cl
0.500 0.000 0.000 Cl
```

Mass density ... 3.84 g/cm³
E_form (uncorrected) ... -0.3936 eV per atom
E above lowest polymorph ... 1.81 eV/f.u.
Space-group type ... P4/mmm, No. 123
Total DFT energy (no corrections) ... -4.263 eV/atom


Entry from Alexandria: an optimized crystal structure of ScPdSCl2 (PBE-GGA).

Cell and atoms, written as POSCAR:
```
ScPdSCl2
1.0
4.889 0.000 0.000
0.000 4.889 0.000
0.000 0.000 5.052
Sc S Pd Cl
1 1 1 2
direct
0.000 0.000 0.000 Sc
0.000 0.000 0.500 S
0.500 0.500 0.500 Pd
0.000 0.500 0.000 Cl
0.500 0.000 0.000 Cl
```

Mass density ... 3.50 g/cm³
E_form (uncorrected) ... -0.7550 eV per atom
E above lowest polymorph ... 0.00 eV/f.u.
Space-group type ... P4/mmm, No. 123
Total DFT energy (no corrections) ... -4.624 eV/atom